Entry from Alexandria: LiV2AgO6 after structural relaxation (PBE with a Hubbard U).

Values from the calculation:
As for the total magnetic moment: 0.00 μB/cell. The value obtained for the total energy is -6.615 eV per atom.

abc: 7.393 7.393 5.861
angles: 106.41 106.41 89.17
Fractional positions:
Li 0.207 0.793 0.750
Li 0.793 0.207 0.250
V 0.225 0.395 0.295
V 0.395 0.225 0.795
V 0.605 0.775 0.205
V 0.775 0.605 0.705
Ag 0.110 0.890 0.250
Ag 0.890 0.110 0.750
O 0.038 0.229 0.175
O 0.155 0.611 0.406
O 0.229 0.038 0.675
O 0.328 0.388 0.046
O 0.388 0.328 0.546
O 0.389 0.845 0.094
O 0.611 0.155 0.906
O 0.612 0.672 0.454
O 0.672 0.612 0.954
O 0.771 0.962 0.325
O 0.845 0.389 0.594
O 0.962 0.771 0.825